# 1
VASP calculation (PBE) on an optimized crystal structure of RbHo2Te3.

Cell: 8.788 8.788 11.828 Å, 90.00 90.00 149.17°
Fractional positions:
1 Rb 0.244 0.756 0.750
2 Rb 0.756 0.244 0.250
3 Ho 0.035 0.965 0.250
4 Ho 0.500 0.500 0.000
5 Ho 0.500 0.500 0.500
6 Ho 0.965 0.035 0.750
7 Te 0.124 0.876 0.041
8 Te 0.124 0.876 0.459
9 Te 0.431 0.569 0.250
10 Te 0.569 0.431 0.750
11 Te 0.876 0.124 0.541
12 Te 0.876 0.124 0.959

Properties
Calculated volume = 39.012 Å³ per atom
SG = Cmcm
Raw formation energy = -1.197 eV/atom
Crystal system = orthorhombic


# 2
VASP calculation (PBE) on an optimized crystal structure of SnHCl2.

Cell: 3.621 3.621 23.231 Å, 90.00 90.00 120.00°
Fractional positions:
1 Sn 0.000 0.000 0.000
2 Sn 0.333 0.667 0.667
3 Sn 0.667 0.333 0.333
4 H 0.000 0.000 0.500
5 H 0.333 0.667 0.167
6 H 0.667 0.333 0.833
7 Cl 0.000 0.000 0.433
8 Cl 0.000 0.000 0.567
9 Cl 0.333 0.667 0.100
10 Cl 0.333 0.667 0.234
11 Cl 0.667 0.333 0.766
12 Cl 0.667 0.333 0.900

Properties
Calculated volume = 21.985 Å³ per atom
Excess energy over the best structure of this formula in the dataset = 52 meV per atom
SG = R-3m
Crystal system = trigonal


# 3
VASP calculation (PBE) on an optimized crystal structure of PaFe2PN.

Cell: 5.678 5.678 6.694 Å, 90.00 90.00 143.84°
Fractional positions:
1 Pa 0.041 0.959 0.750
2 Pa 0.959 0.041 0.250
3 Fe 0.326 0.674 0.557
4 Fe 0.326 0.674 0.943
5 Fe 0.674 0.326 0.057
6 Fe 0.674 0.326 0.443
7 P 0.232 0.768 0.250
8 P 0.768 0.232 0.750
9 N 0.500 0.500 0.000
10 N 0.500 0.500 0.500

Properties
Calculated volume = 12.737 Å³ per atom
SG = Cmcm
Raw formation energy = -0.969 eV/atom
Crystal system = orthorhombic


- What is the calculated volume in the second record?
  21.985 Å³ per atom


- Which of these has the highest calculated volume?
  RbHo2Te3